V4CrS8 | Alexandria via LeMat-Bulk | GGA-PBE | optimized geometry; energy = -89.56 eV for the cell shown; uncorrected formation energy = -0.803 eV/atom; total moment = 4.41 μB/f.u.
1.0
3.2658 1.8855 6.0424
-3.2658 1.8855 6.0424
0.0000 -3.7710 6.0424
V Cr S
4 1 8
Direct
0.0000 0.0000 0.0000
0.0000 0.5000 0.5000
0.5000 0.0000 0.5000
0.5000 0.5000 0.0000
0.5000 0.5000 0.5000
0.2496 0.2496 0.7446
0.2496 0.7446 0.2496
0.2547 0.2547 0.2547
0.2554 0.7504 0.7504
0.7446 0.2496 0.2496
0.7453 0.7453 0.7453
0.7504 0.2554 0.7504
0.7504 0.7504 0.2554